No. 1
A relaxed Nd4IrSe2Br crystal. Source: Alexandria via LeMat-Bulk, functional PBE-GGA.

It has space group P2/m (No. 10), with a = 7.457 Å, b = 4.141 Å, c = 7.500 Å, α = 90.00°, β = 108.31° and γ = 90.00°. The distinct sites, in fractional coordinates, are Nd at (0.229, 0.000, 0.220), Nd at (0.258, 0.500, 0.773), Ir at (0.000, 0.500, 0.000), Se at (0.500, 0.000, 0.000), Se at (0.500, 0.500, 0.500) and Br at (0.000, 0.000, 0.500).

The formation energy without anion corrections comes out at -1382 meV per atom. The density of states at the Fermi level is 5.76 states/eV per cell.

No. 2
A relaxed TaNi3Bi crystal. Source: Alexandria via LeMat-Bulk, functional PBE-GGA.

It has space group Pm-3m (No. 221), with a = 4.619 Å, b = 4.619 Å, c = 4.619 Å, α = 90.00°, β = 90.00° and γ = 90.00°. The distinct sites, in fractional coordinates, are Ta at (0.000, 0.000, 0.000), Ni at (0.000, 0.000, 0.500) and Bi at (0.500, 0.500, 0.500).

Its formation energy is 0.982 eV per atom. Its energy above the most stable polymorph in this dataset is 0 meV per atom. The density of states at the Fermi level is 5.35 states/eV per cell.

No. 3
A relaxed ZrC3I crystal. Source: Alexandria via LeMat-Bulk, functional PBE-GGA.

It has space group Pm-3m (No. 221), with a = 4.092 Å, b = 4.092 Å, c = 4.092 Å, α = 90.00°, β = 90.00° and γ = 90.00°. The distinct sites, in fractional coordinates, are Zr at (0.000, 0.000, 0.000), C at (0.000, 0.500, 0.500) and I at (0.500, 0.500, 0.500).

The formation energy without anion corrections comes out at 2599 meV per atom. Its energy above the most stable polymorph in this dataset is 219 meV per atom. The density of states at the Fermi level is 2.58 states/eV per cell.